A plane-wave DFT calculation with PBE-GGA was carried out for a relaxed structure of MgGa3Pb.

Its relative energy among the computed polymorphs is 0.00 eV per formula unit. The density comes out at 5.43 g/cm3. The value obtained for the formation energy is 0.3829 eV/atom.

Lattice parameters (Å, degrees): 5.1256 5.1256 5.1256 90.00 90.00 90.00
Space group Pm-3m (No. 221)
Asymmetric unit:
1 Mg 0.0000 0.0000 0.0000 (multiplicity 1)
2 Ga 0.0000 0.0000 0.5000 (multiplicity 3)
3 Pb 0.5000 0.5000 0.5000 (multiplicity 1)